Entry 1:
Density functional theory data (PBE) for MnRe2HPt after structural relaxation.

abc: 3.8780 3.8780 3.9484
angles: 90.00 90.00 90.00
Sites, in units of the cell vectors:
1 Re 0.0000 0.5000 0.0000
2 Re 0.5000 0.0000 0.0000
3 Mn 0.0000 0.0000 0.5000
4 Pt 0.5000 0.5000 0.5000
5 H 0.0000 0.0000 0.0000

---

Entry 2:
Density functional theory data (PBE) for MgCuSb after structural relaxation.

abc: 4.9420 4.9420 5.7414
angles: 90.00 90.00 120.00
Sites, in units of the cell vectors:
1 Sb 0.3333 0.6667 0.7500
2 Sb 0.6667 0.3333 0.2500
3 Mg 0.3333 0.6667 0.2500
4 Mg 0.6667 0.3333 0.7500
5 Cu 0.0000 0.0000 0.0000
6 Cu 0.0000 0.0000 0.5000

* formation energy without anion corrections: 2.4 kcal/mol of atoms

---

Entry 3:
Density functional theory data (PBE) for In3Bi2S7 after structural relaxation.

abc: 7.1626 6.9717 12.7439
angles: 105.87 90.00 90.00
Sites, in units of the cell vectors:
1 In 0.7670 0.7069 0.0000
2 In 0.2670 0.2931 0.0000
3 In 0.8208 0.9448 0.3928
4 In 0.3208 0.0552 0.6072
5 In 0.8208 0.5521 0.6072
6 In 0.3208 0.4479 0.3928
7 Bi 0.7534 0.1416 0.7835
8 Bi 0.2534 0.8584 0.2165
9 Bi 0.2534 0.6419 0.7835
10 Bi 0.7534 0.3581 0.2165
11 S 0.6779 0.3119 0.4211
12 S 0.1779 0.6881 0.5789
13 S 0.1779 0.1092 0.4211
14 S 0.6779 0.8908 0.5789
15 S 0.0390 0.6125 0.3151
16 S 0.5390 0.3875 0.6849
17 S 0.5390 0.7026 0.3151
18 S 0.0390 0.2974 0.6849
19 S 0.8798 0.9608 0.1729
20 S 0.3798 0.0392 0.8271
21 S 0.9112 0.3685 0.0000
22 S 0.4112 0.6315 0.0000
23 S 0.8798 0.7879 0.8271
24 S 0.3798 0.2121 0.1729

* formation energy without anion corrections: -8.7 kcal/mol of atoms

---

Entry 4:
Density functional theory data (PBE) for La6TlHg3 after structural relaxation.

abc: 5.4638 9.7892 12.1587
angles: 105.72 90.00 90.00
Sites, in units of the cell vectors:
1 La 0.2500 0.4839 0.0898
2 La 0.7500 0.5161 0.9102
3 La 0.2500 0.1185 0.1500
4 La 0.7500 0.8815 0.8500
5 La 0.2500 0.6489 0.6858
6 La 0.7500 0.3511 0.3142
7 La 0.2500 0.2738 0.5038
8 La 0.7500 0.7262 0.4962
9 La 0.2500 0.8511 0.3258
10 La 0.7500 0.1489 0.6742
11 La 0.2500 0.1002 0.8900
12 La 0.7500 0.8998 0.1100
13 Tl 0.2500 0.9475 0.6124
14 Tl 0.7500 0.0525 0.3876
15 Hg 0.2500 0.5313 0.3700
16 Hg 0.7500 0.4687 0.6300
17 Hg 0.2500 0.3704 0.7840
18 Hg 0.7500 0.6296 0.2160
19 Hg 0.2500 0.7659 0.9692
20 Hg 0.7500 0.2341 0.0308

---

Entry 5:
Density functional theory data (PBE) for La8PdPt5 after structural relaxation.

abc: 7.9394 7.9394 7.9394
angles: 109.36 109.70 109.36
Sites, in units of the cell vectors:
1 La 0.1261 0.7541 0.9947
2 La 0.0053 0.1314 0.7595
3 La 0.7376 0.2460 0.3709
4 La 0.6291 0.3667 0.8751
5 La 0.5084 0.6333 0.2624
6 La 0.6281 0.8686 0.8739
7 La 0.2405 0.2459 0.3719
8 La 0.1249 0.7540 0.4916
9 Pd 0.2500 0.5000 0.7500
10 Pt 0.0047 0.3785 0.1278
11 Pt 0.8722 0.8769 0.2507
12 Pt 0.7493 0.6215 0.6262
13 Pt 0.5000 0.0000 0.5000
14 Pt 0.3738 0.1231 0.9953

---

Entry 6:
Density functional theory data (PBE) for CaTc2W after structural relaxation.

abc: 7.3630 7.3630 5.9708
angles: 51.93 51.93 90.00
Sites, in units of the cell vectors:
1 Ca 0.5000 0.5000 0.0000
2 Ca 0.2500 0.7500 0.5000
3 Tc 0.6774 0.1250 0.2500
4 Tc 0.0726 0.6250 0.2500
5 Tc 0.3750 0.3226 0.7500
6 Tc 0.8750 0.9274 0.7500
7 W 0.0000 0.0000 0.0000
8 W 0.7500 0.2500 0.5000

* offset from the most stable computed form: 584 meV/atom

---

Entry 7:
Density functional theory data (PBE) for Tb10Y4Ho after structural relaxation.

abc: 7.7137 9.4474 9.4474
angles: 80.41 65.91 65.91
Sites, in units of the cell vectors:
1 Tb 0.2500 0.5000 0.5000
2 Tb 0.6524 0.2981 0.8998
3 Tb 0.0495 0.1002 0.2981
4 Tb 0.4478 0.8998 0.7019
5 Tb 0.8503 0.7019 0.1002
6 Tb 0.3476 0.7019 0.1002
7 Tb 0.7500 0.5000 0.5000
8 Tb 0.1497 0.2981 0.8998
9 Tb 0.5522 0.1002 0.2981
10 Tb 0.9505 0.8998 0.7019
11 Y 0.3995 0.8011 0.3999
12 Y 0.7994 0.6001 0.8011
13 Y 0.2006 0.3999 0.1989
14 Y 0.6005 0.1989 0.6001
15 Ho 0.0000 0.0000 0.0000

---

Entry 8:
Density functional theory data (PBE) for Cd2AsSe after structural relaxation.

abc: 4.0305 4.0305 5.7218
angles: 90.00 90.00 90.00
Sites, in units of the cell vectors:
1 As 0.5000 0.5000 0.8745
2 Se 0.0000 0.0000 0.3755
3 Cd 0.0000 0.0000 0.8757
4 Cd 0.5000 0.5000 0.3743

* offset from the most stable computed form: 47 meV/atom
* formation energy without anion corrections: -3.0 kcal/mol of atoms

---

Entry 9:
Density functional theory data (PBE) for TaNbTlO6 after structural relaxation.

abc: 5.3940 5.3941 5.2165
angles: 90.01 90.00 60.00
Sites, in units of the cell vectors:
1 Ta 0.6666 0.6666 0.5000
2 Nb 0.3333 0.3334 0.5000
3 Tl 0.0000 0.0000 0.0000
4 O 0.9979 0.3831 0.2882
5 O 0.3831 0.9979 0.7118
6 O 0.6188 0.3833 0.7118
7 O 0.9978 0.6191 0.7118
8 O 0.3832 0.6189 0.2882
9 O 0.6190 0.9978 0.2882

* formation energy without anion corrections: -50.8 kcal/mol of atoms

---

Entry 10:
Density functional theory data (PBE) for InPSe after structural relaxation.

abc: 3.9754 3.9754 4.8205
angles: 90.00 90.00 120.00
Sites, in units of the cell vectors:
1 In 0.0000 0.0000 0.0215
2 P 0.3333 0.6667 0.3127
3 Se 0.6667 0.3333 0.6658

* offset from the most stable computed form: 226 meV/atom
* formation energy without anion corrections: 2.8 kcal/mol of atoms

---

Entry 11:
Density functional theory data (PBE) for MgTc2Ag after structural relaxation.

abc: 4.4901 4.4901 4.4901
angles: 120.96 120.96 88.35
Sites, in units of the cell vectors:
1 Ag 0.5000 0.5000 0.0000
2 Mg 0.7500 0.2500 0.5000
3 Tc 0.0000 0.0000 0.0000
4 Tc 0.2500 0.7500 0.5000

---

Entry 12:
Density functional theory data (PBE) for CdOs2Cl after structural relaxation.

abc: 5.6607 5.6607 2.7632
angles: 90.00 90.00 126.57
Sites, in units of the cell vectors:
1 Cl 0.0000 0.5000 0.5000
2 Os 0.0000 0.0000 0.0000
3 Os 0.5000 0.5000 0.0000
4 Cd 0.5000 0.0000 0.5000

* offset from the most stable computed form: 1109 meV/atom
* formation energy without anion corrections: 31.1 kcal/mol of atoms

---

Entry 13:
Density functional theory data (PBE) for K2Np2Se2S after structural relaxation.

abc: 5.2123 5.2123 9.0567
angles: 106.72 106.72 90.00
Sites, in units of the cell vectors:
1 K 0.1900 0.1900 0.3800
2 K 0.8100 0.8100 0.6200
3 Np 0.0000 0.5000 0.0000
4 Np 0.5000 0.0000 0.0000
5 Se 0.3906 0.3906 0.7811
6 Se 0.6094 0.6094 0.2189
7 S 0.0000 0.0000 0.0000

* formation energy without anion corrections: -20.2 kcal/mol of atoms

---

Entry 14:
Density functional theory data (PBE) for Sc3SeI after structural relaxation.

abc: 5.1126 5.1126 5.1126
angles: 90.00 90.00 90.00
Sites, in units of the cell vectors:
1 I 0.5000 0.5000 0.5000
2 Sc 0.0000 0.5000 0.0000
3 Sc 0.0000 0.0000 0.5000
4 Sc 0.5000 0.0000 0.0000
5 Se 0.0000 0.0000 0.0000

* offset from the most stable computed form: 0 meV/atom
* formation energy without anion corrections: -6.7 kcal/mol of atoms

---

Entry 15:
Density functional theory data (PBE) for CoSiTe2I after structural relaxation.

abc: 4.9848 4.9848 5.2873
angles: 90.00 90.00 90.00
Sites, in units of the cell vectors:
1 I 0.0000 0.0000 0.5000
2 Si 0.5000 0.5000 0.5000
3 Te 0.0000 0.5000 0.0000
4 Te 0.5000 0.0000 0.0000
5 Co 0.0000 0.0000 0.0000

* offset from the most stable computed form: 0 meV/atom
* formation energy without anion corrections: 14.9 kcal/mol of atoms

---

Entry 16:
Density functional theory data (PBE) for ScSiHg2 after structural relaxation.

abc: 3.5757 3.9424 5.8916
angles: 90.00 90.00 90.00
Sites, in units of the cell vectors:
1 Hg 0.0000 0.0000 0.9959
2 Hg 0.0000 0.0000 0.5041
3 Sc 0.5000 0.5000 0.2500
4 Si 0.5000 0.5000 0.7500

* formation energy without anion corrections: 0.1 kcal/mol of atoms

---

Entry 17:
Density functional theory data (PBE) for Li2CdSe after structural relaxation.

abc: 5.5634 5.5634 5.5634
angles: 138.09 138.09 60.77
Sites, in units of the cell vectors:
1 Cd 0.7500 0.2500 0.5000
2 Li 0.0000 0.0000 0.0000
3 Li 0.2500 0.7500 0.5000
4 Se 0.5000 0.5000 0.0000

* offset from the most stable computed form: 169 meV/atom
* formation energy without anion corrections: -12.2 kcal/mol of atoms

---

Entry 18:
Density functional theory data (PBE) for Sm12Dy2Ho after structural relaxation.

abc: 6.7692 6.7692 24.7871
angles: 90.00 90.00 116.28
Sites, in units of the cell vectors:
1 Sm 0.5000 0.5000 0.8011
2 Sm 0.0000 0.0000 0.8011
3 Sm 0.7513 0.7487 0.9247
4 Sm 0.2511 0.7511 0.8714
5 Sm 0.0000 0.0000 0.3251
6 Sm 0.2489 0.7489 0.1286
7 Sm 0.7679 0.2679 0.5857
8 Sm 0.5000 0.5000 0.3251
9 Sm 0.2487 0.2513 0.9247
10 Sm 0.7487 0.7513 0.0753
11 Sm 0.2729 0.2271 0.5603
12 Sm 0.7321 0.2321 0.4143
13 Sm 0.0000 0.0000 0.6749
14 Sm 0.2271 0.2729 0.4397
15 Sm 0.2513 0.2487 0.0753
16 Sm 0.7729 0.7271 0.4397
17 Sm 0.7271 0.7729 0.5603
18 Sm 0.0000 0.0000 0.1989
19 Sm 0.2321 0.7321 0.5857
20 Sm 0.5000 0.5000 0.6749
21 Sm 0.7489 0.2489 0.8714
22 Sm 0.5000 0.5000 0.1989
23 Sm 0.2679 0.7679 0.4143
24 Sm 0.7511 0.2511 0.1286
25 Dy 0.5000 0.0000 0.2657
26 Dy 0.0000 0.5000 0.2701
27 Dy 0.0000 0.5000 0.7343
28 Dy 0.5000 0.0000 0.7299
29 Ho 0.5000 0.0000 0.9995
30 Ho 0.0000 0.5000 0.0005

---

Entry 19:
Density functional theory data (PBE) for La2HO3 after structural relaxation.

abc: 3.5463 9.7833 9.4367
angles: 90.00 90.00 90.00
Sites, in units of the cell vectors:
1 La 0.2500 0.6771 0.4905
2 La 0.7500 0.3229 0.5095
3 La 0.7500 0.1771 0.0095
4 La 0.2500 0.8229 0.9905
5 La 0.2500 0.9947 0.3194
6 La 0.7500 0.0053 0.6806
7 La 0.7500 0.4947 0.1806
8 La 0.2500 0.5053 0.8194
9 H 0.2500 0.2013 0.2093
10 H 0.7500 0.7987 0.7907
11 H 0.7500 0.7013 0.2907
12 H 0.2500 0.2987 0.7093
13 O 0.2500 0.3817 0.0367
14 O 0.7500 0.6183 0.9633
15 O 0.7500 0.8817 0.4633
16 O 0.2500 0.1183 0.5367
17 O 0.2500 0.7060 0.2408
18 O 0.7500 0.2940 0.7592
19 O 0.7500 0.2060 0.2592
20 O 0.2500 0.7940 0.7408
21 O 0.2500 0.4475 0.3814
22 O 0.7500 0.5525 0.6186
23 O 0.7500 0.9475 0.1186
24 O 0.2500 0.0525 0.8814

---

Entry 20:
Density functional theory data (PBE) for AlNiMo after structural relaxation.

abc: 4.0279 4.0279 4.0279
angles: 60.00 60.00 60.00
Sites, in units of the cell vectors:
1 Ni 0.7500 0.7500 0.7500
2 Mo 0.5000 0.5000 0.5000
3 Al 0.0000 0.0000 0.0000

* offset from the most stable computed form: 300 meV/atom

---

Entry 21:
Density functional theory data (PBE) for BaLiCuSb2 after structural relaxation.

abc: 4.7399 4.7399 6.6138
angles: 111.00 111.00 90.00
Sites, in units of the cell vectors:
1 Ba 0.0000 0.0000 0.0000
2 Li 0.2500 0.7500 0.5000
3 Cu 0.7500 0.2500 0.5000
4 Sb 0.6309 0.6309 0.2617
5 Sb 0.3691 0.3691 0.7383

* formation energy without anion corrections: -14.1 kcal/mol of atoms

---

Entry 22:
Density functional theory data (PBE) for Ac4CdIn after structural relaxation.

abc: 4.0926 4.0915 13.6958
angles: 90.00 90.00 90.00
Sites, in units of the cell vectors:
1 Ac 0.0000 0.0000 0.6477
2 Ac 0.5000 0.5000 0.8523
3 Ac 0.5000 0.5000 0.1477
4 Ac 0.0000 0.0000 0.3523
5 Cd 0.5000 0.5000 0.5000
6 In 0.0000 0.0000 0.0000

* offset from the most stable computed form: 0 meV/atom

---

Entry 23:
Density functional theory data (PBE) for Ba2HfF8 after structural relaxation.

abc: 4.1993 5.3554 8.6167
angles: 106.80 102.47 95.13
Sites, in units of the cell vectors:
1 Hf 0.0810 0.0340 0.0000
2 Ba 0.3373 0.3579 0.6716
3 Ba 0.6657 0.6863 0.3284
4 F 0.8447 0.1219 0.7971
5 F 0.0476 0.3248 0.2029
6 F 0.2624 0.7846 0.5341
7 F 0.5534 0.9154 0.0000
8 F 0.7283 0.2505 0.4659
9 F 0.9504 0.6686 0.8246
10 F 0.1258 0.8440 0.1754
11 F 0.3986 0.3458 0.0000

* formation energy without anion corrections: -89.4 kcal/mol of atoms

---

Number 1: calculated density 17.43 g/cm³, final energy -8.65 eV per atom. Number 2: calculated density 5.73 g/cm³, final energy -3.16 eV per atom. Number 3: calculated density 5.35 g/cm³, final energy -4.12 eV per atom. Number 4: calculated density 8.70 g/cm³, final energy -3.65 eV per atom. Number 5: calculated density 9.45 g/cm³, final energy -6.33 eV per atom. Number 6: calculated density 8.80 g/cm³, final energy -8.04 eV per atom. Number 7: calculated density 6.11 g/cm³, final energy -4.37 eV per atom. Number 8: calculated density 6.77 g/cm³, final energy -2.62 eV per atom. Number 9: calculated density 7.25 g/cm³, final energy -8.21 eV per atom. Number 10: calculated density 5.66 g/cm³, final energy -3.75 eV per atom. Number 11: calculated density 8.64 g/cm³, final energy -5.98 eV per atom. Number 12: calculated density 12.34 g/cm³, final energy -4.96 eV per atom. Number 13: calculated density 5.48 g/cm³, final energy -6.47 eV per atom. Number 14: calculated density 4.23 g/cm³, final energy -5.10 eV per atom. Number 15: calculated density 5.93 g/cm³, final energy -3.43 eV per atom. Number 16: calculated density 9.48 g/cm³, final energy -3.08 eV per atom. Number 17: calculated density 4.48 g/cm³, final energy -2.58 eV per atom. Number 18: calculated density 7.48 g/cm³, final energy -4.53 eV per atom. Number 19: calculated density 6.63 g/cm³, final energy -7.13 eV per atom. Number 20: calculated density 6.53 g/cm³, final energy -6.76 eV per atom. Number 21: calculated density 5.85 g/cm³, final energy -3.85 eV per atom. Number 22: calculated density 8.22 g/cm³, final energy -3.57 eV per atom. Number 23: calculated density 5.62 g/cm³, final energy -6.49 eV per atom.